TlReAu4: relaxed, PBE-GGA.

Formation energy in eV/f.u.: 4.45
Total moment in μB/atom: 0.658

Cell: 7.872 7.872 7.872 Å, 90.00 90.00 90.00°
Space group F-43m (No. 216)
Inequivalent atoms, fractional coordinates:
1 Tl 0.000 0.000 0.000
2 Re 0.250 0.250 0.250
3 Au 0.125 0.125 0.625